La2NbWN6 | PBE | relaxed

Values from the calculation:
E: -9.242 eV/atom
Calculated volume: 132.95 Å³/f.u.
Fermi-level density of states: 14.5 states/eV per cell
Formation energy from raw total energies: -959 meV/atom

a = 5.8025 Å, b = 5.6884 Å, c = 9.9138 Å
α = 90.00°, β = 125.65°, γ = 90.00°
Space group P2_1/c (No. 14)
Unique sites:
La (0.2452, 0.0028, 0.2498) x4
Nb (0.5000, 0.0000, 0.0000) x2
W (0.0000, 0.0000, 0.5000) x2
N (0.2020, 0.2493, 0.4594) x4
N (0.2073, 0.7435, 0.9595) x4
N (0.3215, 0.0013, 0.7454) x4

La3Y2NbN6 | PBE | relaxed

Values from the calculation:
E: -8.689 eV/atom
Calculated volume: 185.53 Å³/f.u.
Fermi-level density of states: 4.9 states/eV per cell
Formation energy from raw total energies: -1378 meV/atom

a = 6.0545 Å, b = 10.4746 Å, c = 6.1872 Å
α = 90.00°, β = 108.98°, γ = 90.00°
Space group C2/m (No. 12)
Unique sites:
La (0.0000, 0.0000, 0.0000) x2
La (0.0000, 0.3336, 0.0000) x4
Y (0.0000, 0.1668, 0.5000) x4
Nb (0.0000, 0.5000, 0.5000) x2
N (0.2258, 0.3465, 0.7159) x8
N (0.2352, 0.5000, 0.2783) x4

LaY2NbN4 | PBE | relaxed

Values from the calculation:
E: -8.934 eV/atom
Calculated volume: 127.17 Å³/f.u.
Fermi-level density of states: 10.3 states/eV per cell
Formation energy from raw total energies: -1280 meV/atom

a = 3.4483 Å, b = 12.0954 Å, c = 12.1958 Å
α = 90.00°, β = 90.00°, γ = 90.00°
Space group Cmcm (No. 63)
Unique sites:
La (0.0000, 0.0928, 0.2500) x4
Y (0.0000, 0.3710, 0.0363) x8
Nb (0.0000, 0.1671, 0.7500) x4
N (0.0000, 0.0000, 0.0000) x4
N (0.0000, 0.2606, 0.6192) x8
N (0.0000, 0.4383, 0.2500) x4